(1)
Dy2Er5TmTh GGA-PBE relaxed; total moment = 0.00 μB per formula unit; space group = Cmc2_1, No. 36; calculated formation energy = 1.5 eV/f.u.; density = 8.958 Mg/m³; uncorrected energy = -4.71 eV per atom
1.0
5.6361 0.0000 0.0000
-2.8181 10.6786 0.0000
0.0000 0.0000 9.6237
Dy Er Tm Th
4 10 2 2
Direct
0.8856 0.7712 0.8262 Dy
0.1310 0.2619 0.7098 Dy
0.1144 0.2288 0.3262 Dy
0.8690 0.7381 0.2098 Dy
0.3963 0.7927 0.0408 Er
0.7306 0.4612 0.8280 Er
0.4700 0.9399 0.7423 Er
0.3053 0.6105 0.7186 Er
0.9856 0.9711 0.5174 Er
0.6037 0.2073 0.5408 Er
0.2694 0.5388 0.3280 Er
0.5300 0.0601 0.2423 Er
0.6947 0.3895 0.2186 Er
0.0144 0.0289 0.0174 Er
0.8089 0.6177 0.5171 Tm
0.1911 0.3823 0.0171 Tm
0.5961 0.1922 0.9237 Th
0.4039 0.8078 0.4237 Th

***

(2)
LaH6Pd3 GGA-PBE relaxed; total moment = 0.00 μB per formula unit; space group = R3, No. 146; density = 7.685 Mg/m³; uncorrected energy = -4.40 eV per atom
1.0
4.4490 0.0001 -2.3842
-2.8636 4.1567 -0.0003
0.0301 0.0207 5.3998
La H Pd
1 6 3
Direct
0.7902 0.8951 0.6853 La
0.3546 0.4307 0.7551 H
0.1555 0.7530 0.2095 H
0.8071 0.0541 0.2095 H
0.3243 0.9239 0.7551 H
0.8312 0.4004 0.7551 H
0.4565 0.4025 0.2095 H
0.6933 0.3467 0.0400 Pd
0.3266 0.6633 0.9899 Pd
0.2607 0.1304 0.3911 Pd

***

(3)
NaAl2Se4 GGA-PBE relaxed; total moment = 0.00 μB per formula unit; space group = Cmcm, No. 63; density = 4.346 Mg/m³; uncorrected energy = -3.96 eV per atom; formation energy (no corrections) = -0.715 eV/atom
1.0
-2.9399 2.1723 0.4988
-0.6301 -2.5594 -6.2110
-6.3961 -9.7254 4.6564
Na Al Se
2 4 8
Direct
0.6111 0.2221 0.7500 Na
0.3889 0.7779 0.2500 Na
0.1398 0.2796 0.4307 Al
0.8602 0.7204 0.9307 Al
0.1398 0.2796 0.0693 Al
0.8602 0.7204 0.5693 Al
0.7669 0.5339 0.1125 Se
0.7669 0.5339 0.3875 Se
0.2331 0.4661 0.8875 Se
0.2331 0.4661 0.6125 Se
0.9433 0.8866 0.7500 Se
0.0567 0.1134 0.2500 Se
0.5000 0.0000 0.0000 Se
0.5000 0.0000 0.5000 Se

***

(4)
Ho4IrRu GGA-PBE relaxed; total moment = 0.00 μB per formula unit; energy above the lowest structure with this stoichiometry = 82 meV per atom; space group = P2_1/c, No. 14; calculated formation energy = -2.9 eV/f.u.; density = 10.108 Mg/m³; uncorrected energy = -6.56 eV per atom
1.0
-4.9011 3.2973 -3.3437
2.9944 -1.5323 -5.9002
-3.5809 -5.7625 -0.3208
Ho Ir Ru
8 2 2
Direct
0.8366 0.6654 0.1680 Ho
0.6634 0.1654 0.8320 Ho
0.3323 0.3342 0.3363 Ho
0.1677 0.8342 0.6637 Ho
0.1634 0.3346 0.8320 Ho
0.3366 0.8346 0.1680 Ho
0.6677 0.6658 0.6637 Ho
0.8323 0.1658 0.3363 Ho
0.0000 0.0000 0.0000 Ir
0.5000 0.5000 0.0000 Ir
0.5000 0.0000 0.5000 Ru
0.0000 0.5000 0.5000 Ru

***

(5)
Sc2CrPt GGA-PBE relaxed; total moment = 2.89 μB per formula unit; space group = Pmm2, No. 25; calculated formation energy = -1.0 eV/f.u.; density = 7.554 Mg/m³; uncorrected energy = -7.34 eV per atom
1.0
3.0682 0.0000 0.0000
0.0000 4.2534 0.0000
0.0000 0.0000 5.6764
Cr Pt Sc
1 1 2
Direct
0.0000 0.0000 0.4789 Cr
0.5000 0.5000 0.7736 Pt
0.0000 0.0000 0.9574 Sc
0.5000 0.5000 0.2901 Sc

***

(6)
CrAu2 GGA-PBE relaxed; total moment = 3.91 μB per formula unit; space group = Pa-3, No. 205; calculated formation energy = 1.7 eV/f.u.; density = 11.805 Mg/m³; uncorrected energy = -4.82 eV per atom
1.0
6.3072 0.0000 0.0000
0.0000 6.3072 0.0000
0.0000 0.0000 6.3072
Cr Au
4 8
Direct
0.0000 0.0000 0.0000 Cr
0.0000 0.5000 0.5000 Cr
0.5000 0.0000 0.5000 Cr
0.5000 0.5000 0.0000 Cr
0.1277 0.6277 0.8723 Au
0.1277 0.8723 0.3723 Au
0.3723 0.1277 0.8723 Au
0.3723 0.3723 0.3723 Au
0.6277 0.6277 0.6277 Au
0.6277 0.8723 0.1277 Au
0.8723 0.1277 0.6277 Au
0.8723 0.3723 0.1277 Au

***

density of number 1 (Dy2Er5TmTh)?
8.958 Mg/m³

***

Repeat the sixth record exactly.
CrAu2 GGA-PBE relaxed; total moment = 3.91 μB per formula unit; space group = Pa-3, No. 205; calculated formation energy = 1.7 eV/f.u.; density = 11.805 Mg/m³; uncorrected energy = -4.82 eV per atom
1.0
6.3072 0.0000 0.0000
0.0000 6.3072 0.0000
0.0000 0.0000 6.3072
Cr Au
4 8
Direct
0.0000 0.0000 0.0000 Cr
0.0000 0.5000 0.5000 Cr
0.5000 0.0000 0.5000 Cr
0.5000 0.5000 0.0000 Cr
0.1277 0.6277 0.8723 Au
0.1277 0.8723 0.3723 Au
0.3723 0.1277 0.8723 Au
0.3723 0.3723 0.3723 Au
0.6277 0.6277 0.6277 Au
0.6277 0.8723 0.1277 Au
0.8723 0.1277 0.6277 Au
0.8723 0.3723 0.1277 Au

***

Look up the density of the fifth one.
7.554 Mg/m³

***

Which value of density does entry 6 give?
11.805 Mg/m³